Al5FeIr4 after structural relaxation. Source: Alexandria, functional PBE-GGA.

Cell: 2.9812 2.9812 14.9955 Å, 90.00 90.00 90.00°
With the nearest neighbours (Å) after each atom.
Element x y z (fractional)
Al (0.5000, 0.5000, 0.0885)  4 Fe 2.49, 4 Ir 2.65, 1 Al 2.65
Al (0.5000, 0.5000, 0.2944)  8 Ir 2.58-2.62
Al (0.5000, 0.5000, 0.5000)  8 Ir 2.60
Al (0.5000, 0.5000, 0.7056)  8 Ir 2.58-2.62
Al (0.5000, 0.5000, 0.9115)  4 Fe 2.49, 4 Ir 2.65, 1 Al 2.65
Fe (0.0000, 0.0000, 0.0000)  8 Al 2.49
Ir (0.0000, 0.0000, 0.1953)  8 Al 2.58-2.65
Ir (0.0000, 0.0000, 0.3986)  8 Al 2.60-2.62
Ir (0.0000, 0.0000, 0.6014)  8 Al 2.60-2.62
Ir (0.0000, 0.0000, 0.8047)  8 Al 2.58-2.65

Computed properties:
- E_form (meV/atom) = -851
- spin magnetization (μB/f.u.) = 0.0